A geometry-optimized LaAl2CoPb structure, computed with PBE.

N(E_F)   6.689 states/eV/f.u.
Energy relative to the elements   1662 meV per atom
Total moment   1.7 Bohr magnetons per cell
E_tot   -2.98 eV per atom

Lattice parameters (Å, degrees): 5.647 5.647 5.993 90.00 90.00 90.00
Atoms (fractional coordinates):
La 0.000 0.000 0.000
Al 0.000 0.500 0.000
Al 0.500 0.000 0.000
Co 0.500 0.500 0.500
Pb 0.000 0.000 0.500